Entry 1:
# K2FeOs

K2FeOs after structural relaxation (PBE, the Alexandria database).

The structure in POSCAR format:
```
K2FeOs
1.0
3.4049 -1.9655 0.0000
3.4049 1.9655 0.0000
-2.2422 0.0000 9.7663
K Fe Os
2 1 1
direct
0.0000 0.0000 0.0000
0.1739 0.1739 0.5285
0.4192 0.4192 0.2615
0.7540 0.7540 0.2659
```

Output
Energy above the lowest structure with this stoichiometry in meV/atom: 5.5
E_tot in eV for the cell shown: -18.77
Crystal system: monoclinic
SG: Cm (8)

Entry 2:
# NbIn4

NbIn4 after structural relaxation (PBE, the Alexandria database).

The structure in POSCAR format:
```
NbIn4
1.0
5.4528 0.0000 0.0000
0.0000 5.4528 0.0000
0.0000 0.0000 5.4528
Nb In
1 4
direct
0.0000 0.0000 0.0000
0.0000 0.0000 0.5000
0.0000 0.5000 0.0000
0.5000 0.0000 0.0000
0.5000 0.5000 0.5000
```

Output
E_tot in eV for the cell shown: -18.57
Crystal system: cubic
SG: Pm-3m (221)

Entry 3:
# CuRe2Mo

CuRe2Mo after structural relaxation (PBE, the Alexandria database).

The structure in POSCAR format:
```
CuRe2Mo
1.0
-1.9352 1.9352 3.8817
1.9352 -1.9352 3.8817
1.9352 1.9352 -3.8817
Cu Re Mo
1 2 1
direct
0.0000 0.0000 0.0000
0.2500 0.7500 0.5000
0.5000 0.5000 0.0000
0.7500 0.2500 0.5000
```

Output
Energy above the lowest structure with this stoichiometry in meV/atom: 50.2
E_tot in eV for the cell shown: -38.92
Crystal system: tetragonal
SG: I-4m2 (119)

Entry 4:
# TcMo2PRh

TcMo2PRh after structural relaxation (PBE, the Alexandria database).

The structure in POSCAR format:
```
TcMo2PRh
1.0
4.4101 0.0000 0.0000
0.0000 4.4101 0.0000
0.0000 0.0000 4.3060
Tc Mo P Rh
1 2 1 1
direct
0.0000 0.0000 0.0000
0.0000 0.5000 0.5000
0.5000 0.0000 0.5000
0.0000 0.0000 0.5000
0.5000 0.5000 0.0000
```

Output
Energy above the lowest structure with this stoichiometry in meV/atom: 0.0
E_tot in eV for the cell shown: -41.69
Crystal system: tetragonal
SG: P4/mmm (123)

Entry 5:
# LaWSe

LaWSe after structural relaxation (PBE, the Alexandria database).

The structure in POSCAR format:
```
LaWSe
1.0
4.4441 0.0000 0.0000
-2.2221 3.8487 0.0000
0.0000 0.0000 4.0180
La W Se
1 1 1
direct
0.0000 0.0000 0.0000
0.3333 0.6667 0.5000
0.6667 0.3333 0.5000
```

Output
Energy above the lowest structure with this stoichiometry in meV/atom: 35.7
E_tot in eV for the cell shown: -21.42
Crystal system: hexagonal
SG: P-6m2 (187)
Formation energy without anion corrections in eV per atom: -0.017

Entry 6:
# KSr2Tc2N6

KSr2Tc2N6 after structural relaxation (PBE, the Alexandria database).

The structure in POSCAR format:
```
KSr2Tc2N6
1.0
6.3721 0.0000 0.0000
-2.6776 6.1225 0.0000
-3.0997 -1.9876 5.9820
K Sr Tc N
1 2 2 6
direct
0.0000 0.0000 0.0000
0.4021 0.2805 0.6735
0.5979 0.7195 0.3265
0.2117 0.6746 0.6834
0.7883 0.3254 0.3166
0.1217 0.8936 0.6896
0.2514 0.5488 0.9022
0.4675 0.7222 0.6225
0.5325 0.2778 0.3775
0.7486 0.4512 0.0978
0.8783 0.1064 0.3104
```

Output
E_tot in eV for the cell shown: -77.46
Crystal system: triclinic
SG: P-1 (2)
Formation energy without anion corrections in eV per atom: -0.211

Entry 7:
# SO

SO after structural relaxation (PBE, the Alexandria database).

The structure in POSCAR format:
```
SO
1.0
6.1183 0.0000 0.0000
0.0000 6.1183 0.0000
0.0000 0.0000 6.1183
S O
6 6
direct
0.0000 0.2500 0.5000
0.0000 0.7500 0.5000
0.2500 0.5000 0.0000
0.5000 0.0000 0.2500
0.5000 0.0000 0.7500
0.7500 0.5000 0.0000
0.0000 0.5000 0.2500
0.0000 0.5000 0.7500
0.2500 0.0000 0.5000
0.5000 0.2500 0.0000
0.5000 0.7500 0.0000
0.7500 0.0000 0.5000
```

Output
Energy above the lowest structure with this stoichiometry in meV/atom: 1648.5
E_tot in eV for the cell shown: -41.47
Crystal system: cubic
SG: Pm-3n (223)
Formation energy without anion corrections in eV per atom: 1.087

Entry 8:
# Ac3MgPb3

Ac3MgPb3 after structural relaxation (PBE, the Alexandria database).

The structure in POSCAR format:
```
Ac3MgPb3
1.0
6.3851 -2.4890 0.0000
6.3851 2.4890 0.0000
-5.1117 0.0000 15.3789
Ac Mg Pb
6 2 6
direct
0.0233 0.0233 0.3808
0.0931 0.0931 0.9179
0.2444 0.2444 0.2262
0.7556 0.7556 0.7738
0.9069 0.9069 0.0821
0.9767 0.9767 0.6192
0.2678 0.2678 0.6012
0.7322 0.7322 0.3988
0.3587 0.3587 0.4493
0.3688 0.3688 0.9250
0.4700 0.4700 0.7660
0.5300 0.5300 0.2340
0.6312 0.6312 0.0750
0.6413 0.6413 0.5507
```

Output
Energy above the lowest structure with this stoichiometry in meV/atom: 0.0
E_tot in eV for the cell shown: -57.00
Crystal system: monoclinic
SG: C2/m (12)

Entry 9:
# BaSc2Be

BaSc2Be after structural relaxation (PBE, the Alexandria database).

The structure in POSCAR format:
```
BaSc2Be
1.0
-1.6497 2.2034 7.7832
1.6497 -2.2034 7.7832
1.6497 2.2034 -7.7832
Ba Sc Be
1 2 1
direct
0.0000 0.0000 0.0000
0.3204 0.3204 0.0000
0.6877 0.1877 0.5000
0.1880 0.6880 0.5000
```

Output
E_tot in eV for the cell shown: -16.71
Crystal system: orthorhombic
SG: Imm2 (44)

Entry 10:
# MnCdHg2Pb

MnCdHg2Pb after structural relaxation (PBE, the Alexandria database).

The structure in POSCAR format:
```
MnCdHg2Pb
1.0
5.7847 0.0000 0.0000
0.0000 5.7847 0.0000
0.0000 0.0000 5.7296
Mn Cd Hg Pb
1 1 2 1
direct
0.0000 0.0000 0.0000
0.5000 0.5000 0.0000
0.0000 0.5000 0.5000
0.5000 0.0000 0.5000
0.5000 0.5000 0.5000
```

Output
E_tot in eV for the cell shown: -10.31
Crystal system: tetragonal
SG: P4/mmm (123)

Entry 11:
# Hf6FeBi3

Hf6FeBi3 after structural relaxation (PBE, the Alexandria database).

The structure in POSCAR format:
```
Hf6FeBi3
1.0
6.7325 0.0000 0.0000
0.0000 7.7504 0.0000
-6.0261 0.0000 9.3583
Hf Fe Bi
12 2 6
direct
0.0462 0.0644 0.2287
0.0462 0.4356 0.7287
0.2205 0.7394 0.0658
0.2205 0.7606 0.5658
0.3658 0.1366 0.0400
0.3658 0.3634 0.5400
0.6342 0.6366 0.4600
0.6342 0.8634 0.9600
0.7795 0.2394 0.4342
0.7795 0.2606 0.9342
0.9538 0.5644 0.2713
0.9538 0.9356 0.7713
0.0000 0.0000 0.0000
0.0000 0.5000 0.5000
0.2920 0.1085 0.7250
0.2920 0.3915 0.2250
0.5000 0.0000 0.5000
0.5000 0.5000 0.0000
0.7080 0.6085 0.7750
0.7080 0.8915 0.2750
```

Output
Energy above the lowest structure with this stoichiometry in meV/atom: 124.3
E_tot in eV for the cell shown: -158.71
Crystal system: monoclinic
SG: P2_1/c (14)

Entry 12:
# Mg2BiAsO6

Mg2BiAsO6 after structural relaxation (PBE, the Alexandria database).

The structure in POSCAR format:
```
Mg2BiAsO6
1.0
4.2910 -6.1193 0.0000
4.2910 6.1193 0.0000
-3.7276 0.0000 5.5070
Mg Bi As O
4 2 2 12
direct
0.0408 0.1935 0.1579
0.1935 0.0408 0.6579
0.8065 0.9592 0.3421
0.9592 0.8065 0.8421
0.4236 0.5764 0.7500
0.5764 0.4236 0.2500
0.2986 0.7014 0.2500
0.7014 0.2986 0.7500
0.1146 0.2152 0.4929
0.1271 0.6746 0.9888
0.2152 0.1146 0.9929
0.3074 0.4988 0.3337
0.3254 0.8729 0.5112
0.4988 0.3074 0.8337
0.5012 0.6926 0.1663
0.6746 0.1271 0.4888
0.6926 0.5012 0.6663
0.7848 0.8854 0.0071
0.8729 0.3254 0.0112
0.8854 0.7848 0.5071
```

Output
Energy above the lowest structure with this stoichiometry in meV/atom: 202.1
E_tot in eV for the cell shown: -116.80
Crystal system: monoclinic
SG: C2/c (15)
Formation energy without anion corrections in eV per atom: -1.693